Below is crystalline Ta2HgMo2 at its relaxed geometry, with properties calculated at the PBE level.

Structure (POSCAR):
```
Ta2HgMo2
1.0
-5.5321 5.2102 0.7281
-5.0460 -5.5539 1.4045
0.6231 0.2246 3.1270
Hg Ta Mo
2 4 4
Direct
0.5000 0.5000 0.0000
0.0000 0.0000 0.0000
0.3605 0.8605 0.0000
0.1395 0.3605 0.0000
0.8605 0.6395 0.0000
0.6395 0.1395 0.0000
0.8408 0.3408 0.5000
0.3408 0.1592 0.5000
0.1592 0.6592 0.5000
0.6592 0.8408 0.5000
```

Output
Energy relative to the elements: 0.53 eV/atom
Total magnetization: 0.000 μB per atom